No. 1
Na2ScAsF | GGA-PBE | optimized geometry

Cell and atoms, written as POSCAR:
```
Na2ScAsF
1.0
-2.5049 -3.4474 -0.4311
3.4524 -2.1662 -2.7379
1.7322 -1.6999 3.5292
Sc Na As F
1 2 1 1
direct
0.0000 0.5000 0.0000
0.0000 0.0000 0.5000
0.5000 0.0000 0.0000
0.5000 0.5000 0.5000
0.0000 0.0000 0.0000
```

DOS(E_F)   2.783 states/eV/f.u.
V   90.1 Å³/cell
VASP energy   -4.358 eV per atom
Formation energy (no corrections)   -1.260 eV/atom

=====

No. 2
Hf5CuSb5 | GGA-PBE | optimized geometry

Cell and atoms, written as POSCAR:
```
Hf5CuSb5
1.0
-3.1619 -2.1547 -4.2022
6.1440 -3.0965 0.8079
-5.0425 -3.1086 5.3880
Hf Cu Sb
5 1 5
direct
0.8314 0.6629 0.1432
0.8426 0.6851 0.6944
0.5000 0.0000 0.0000
0.1574 0.3149 0.3056
0.1686 0.3371 0.8568
0.0000 0.0000 0.0000
0.6703 0.3407 0.3453
0.6465 0.2931 0.7966
0.0000 0.0000 0.5000
0.3535 0.7069 0.2034
0.3297 0.6593 0.6547
```

DOS(E_F)   6.111 states/eV/f.u.
V   270.8 Å³/cell
VASP energy   -6.994 eV per atom
Formation energy (no corrections)   -0.224 eV/atom